A geometry-optimized MoAu2Cl structure, computed with GGA-PBE. Values from VASP.

Quantum ESPRESSO input file:
```
&SYSTEM
  ibrav = 0, nat = 8, ntyp = 3
/
ATOMIC_SPECIES
Mo 95.94 Mo.upf
Cl 35.45 Cl.upf
Au 196.97 Au.upf
ATOMIC_POSITIONS crystal
Mo 0.7500 0.2500 0.5000
Mo 0.0000 0.0000 0.0000
Cl 0.5000 0.5000 0.0000
Cl 0.2500 0.7500 0.5000
Au 0.3750 0.2881 0.7500
Au 0.7119 0.1250 0.2500
Au 0.0381 0.6250 0.2500
Au 0.8750 0.9619 0.7500
CELL_PARAMETERS angstrom
8.7654 0.0000 0.0000
0.0000 8.7654 0.0000
4.3827 4.3827 2.3152
```

symmetry = I-42d, No. 122
energy relative to the elements, uncorrected = 0.567 eV/atom
total moment = 0.00 μB per formula unit
excess energy over the best structure of this formula in the dataset = 160.3 kJ/mol of formula units
calculated density = 9.8 g cm⁻³